(1)
{
  "formula": "LiErS2",
  "functional": "SCAN",
  "state": "single point on PBEsol structure",
  "formation_energy_uncorrected_mev_per_atom": -2099,
  "sg": "I4_1/amd (141)",
  "energy_ev_per_atom": -20.096,
  "dos_at_fermi_per_ev_atom": 0.00,
  "cell": [[-2.665, 2.665, 5.447], [2.665, -2.665, 5.447], [2.665, 2.665, -5.447]],
  "species": ["Li", "Li", "Er", "Er", "S", "S", "S", "S"],
  "fractional_positions": [[0.375, 0.625, 0.750], [0.625, 0.375, 0.250], [0.125, 0.875, 0.250], [0.875, 0.125, 0.750], [0.120, 0.370, 0.750], [0.370, 0.120, 0.250], [0.630, 0.880, 0.750], [0.880, 0.630, 0.250]]
}

(2)
{
  "formula": "NbZnCdF2",
  "functional": "SCAN",
  "state": "single point on PBEsol structure",
  "formation_energy_uncorrected_mev_per_atom": -1149,
  "sg": "P4/mmm (123)",
  "energy_ev_per_atom": -17.977,
  "dos_at_fermi_per_ev_atom": 0.41,
  "cell": [[4.055, 0.000, 0.000], [0.000, 4.055, 0.000], [0.000, 0.000, 5.361]],
  "species": ["Nb", "Zn", "Cd", "F", "F"],
  "fractional_positions": [[0.000, 0.000, 0.000], [0.000, 0.000, 0.500], [0.500, 0.500, 0.500], [0.000, 0.500, 0.000], [0.500, 0.000, 0.000]]
}

(3)
{
  "formula": "Ca2ScTc",
  "functional": "SCAN",
  "state": "single point on PBEsol structure",
  "sg": "P4/mmm (123)",
  "energy_ev_per_atom": -16.620,
  "e_above_lowest_polymorph_ev_per_atom": 0.252,
  "dos_at_fermi_per_ev_atom": 0.68,
  "e_form_ev_per_atom": 0.536,
  "cell": [[4.296, 0.000, 0.000], [0.000, 4.296, 0.000], [0.000, 0.000, 4.896]],
  "species": ["Ca", "Ca", "Sc", "Tc"],
  "fractional_positions": [[0.000, 0.500, 0.000], [0.500, 0.000, 0.000], [0.000, 0.000, 0.500], [0.500, 0.500, 0.500]]
}